Compound: DyTc6B4
Source: Alexandria
Functional: PBE
Structure: optimized geometry

Output
Total moment: 0.000 μB per formula unit
Energy: -95.2 eV/cell
Space group: I-42m, No. 121
Mass density: 9.84 g/cm³

Unit cell a=5.783 b=5.783 c=5.783 alpha=121.30 beta=121.30 gamma=87.76
Sites, in units of the cell vectors:
Dy (0.000, 0.000, 0.000)
Tc (0.000, 0.500, 0.500)
Tc (0.084, 0.472, 0.000)
Tc (0.472, 0.084, 0.000)
Tc (0.500, 0.000, 0.500)
Tc (0.528, 0.528, 0.612)
Tc (0.916, 0.916, 0.388)
B (0.298, 0.298, 0.722)
B (0.424, 0.702, 0.000)
B (0.576, 0.576, 0.278)
B (0.702, 0.424, 0.000)



Compound: DyTc2B6
Source: Alexandria
Functional: PBE
Structure: optimized geometry

Output
Total moment: 0.000 μB per formula unit
Energy: -69.6 eV/cell
Space group: Immm, No. 71
Mass density: 7.75 g/cm³

Unit cell a=5.674 b=5.674 c=5.674 alpha=147.95 beta=106.60 gamma=82.34
Sites, in units of the cell vectors:
Dy (0.000, 0.000, 0.000)
Tc (0.339, 0.839, 0.500)
Tc (0.661, 0.161, 0.500)
B (0.066, 0.310, 0.756)
B (0.346, 0.500, 0.846)
B (0.446, 0.690, 0.756)
B (0.554, 0.310, 0.244)
B (0.654, 0.500, 0.154)
B (0.934, 0.690, 0.244)



Look up the mass density of the first one.
9.84 g/cm³